Record 1
Nd4I5N2 | PBE-GGA | optimized geometry

Values from the calculation:
ΔE_f (raw) ... -1195 meV per atom
Space-group type ... C2/m, No. 12
Total magnetic moment ... 0.00 μB per formula unit

abc: 3.9462 8.8633 10.0791
angles: 102.51 101.29 90.00
Last column: nearest neighbours and their distance in Å.
Element x y z (fractional)
Nd 0.6531 0.5770 0.3062  1 N 2.27
Nd 0.0005 0.6840 0.0011  4 N 2.65
Nd 0.3469 0.4230 0.6938  1 N 2.27
Nd 0.9995 0.3160 0.9989  4 N 2.65
I 0.1625 0.8604 0.3250  3 Nd 3.17-3.24
I 0.8375 0.1396 0.6750  3 Nd 3.17-3.24
I 0.1699 0.3017 0.3398  4 Nd 3.21-3.43
I 0.5000 0.0000 0.0000  4 Nd 3.43
I 0.8301 0.6983 0.6602  4 Nd 3.21-3.43
N 0.5354 0.5165 0.0708  1 N 1.37
N 0.4646 0.4835 0.9292  1 N 1.37


Record 2
GaTe3I | PBE-GGA | optimized geometry

Values from the calculation:
ΔE_f (raw) ... 374 meV per atom
Space-group type ... Pm-3m, No. 221
Total magnetic moment ... 0.00 μB per formula unit

abc: 5.4458 5.4458 5.4458
angles: 90.00 90.00 90.00
Last column: nearest neighbours and their distance in Å.
Element x y z (fractional)
I 0.5000 0.5000 0.5000  12 Te 3.85
Te 0.0000 0.5000 0.0000  2 Ga 2.72
Te 0.0000 0.0000 0.5000  2 Ga 2.72
Te 0.5000 0.0000 0.0000  2 Ga 2.72
Ga 0.0000 0.0000 0.0000  6 Te 2.72


Record 3
Ti7MoPt2 | PBE-GGA | optimized geometry

Values from the calculation:
Space-group type ... Fm-3m, No. 225
Total magnetic moment ... 0.66 μB per formula unit
DFT formation energy ... 7.1 eV per formula unit

abc: 6.4327 6.4327 6.4327
angles: 60.00 60.00 60.00
Last column: nearest neighbours and their distance in Å.
Element x y z (fractional)
Ti 0.5000 0.5000 0.5000  6 Ti 2.24
Ti 0.2537 0.7463 0.7463  1 Ti 2.24, 1 Mo 2.31
Ti 0.2537 0.7463 0.2537  1 Ti 2.24, 1 Mo 2.31
Ti 0.7463 0.2537 0.7463  1 Ti 2.24, 1 Mo 2.31
Ti 0.7463 0.7463 0.2537  1 Ti 2.24, 1 Mo 2.31
Ti 0.2537 0.2537 0.7463  1 Ti 2.24, 1 Mo 2.31
Ti 0.7463 0.2537 0.2537  1 Ti 2.24, 1 Mo 2.31
Mo 0.0000 0.0000 0.0000  6 Ti 2.31
Pt 0.2500 0.2500 0.2500  12 Ti 3.22
Pt 0.7500 0.7500 0.7500  12 Ti 3.22


Record 4
BeNb4Si | PBE-GGA | optimized geometry

Values from the calculation:
ΔE_f (raw) ... -136 meV per atom
Space-group type ... I4/mcm, No. 140
Total magnetic moment ... 0.00 μB per formula unit

abc: 6.1810 6.1810 6.7571
angles: 117.22 117.22 90.00
Last column: nearest neighbours and their distance in Å.
Element x y z (fractional)
Be 0.5000 0.5000 0.0000  2 Si 2.58, 8 Nb 2.67
Be 0.0000 0.0000 0.0000  2 Si 2.58, 8 Nb 2.67
Nb 0.4622 0.9622 0.2625  2 Si 2.60, 2 Be 2.67, 2 Nb 2.71-2.83
Nb 0.9622 0.8004 0.2625  2 Si 2.60, 2 Be 2.67, 2 Nb 2.71-2.83
Nb 0.3004 0.4622 0.2625  2 Si 2.60, 2 Be 2.67, 2 Nb 2.71-2.83
Nb 0.6996 0.5378 0.7375  2 Si 2.60, 2 Be 2.67, 2 Nb 2.71-2.83
Nb 0.0378 0.1996 0.7375  2 Si 2.60, 2 Be 2.67, 2 Nb 2.71-2.83
Nb 0.5378 0.0378 0.7375  2 Si 2.60, 2 Be 2.67, 2 Nb 2.71-2.83
Nb 0.1996 0.6996 0.7375  2 Si 2.60, 2 Be 2.67, 2 Nb 2.71-2.83
Nb 0.8004 0.3004 0.2625  2 Si 2.60, 2 Be 2.67, 2 Nb 2.71-2.83
Si 0.2500 0.2500 0.5000  2 Be 2.58, 8 Nb 2.60
Si 0.7500 0.7500 0.5000  2 Be 2.58, 8 Nb 2.60


Record 5
Cs2LiTlBr4 | PBE-GGA | optimized geometry

Values from the calculation:
ΔE_f (raw) ... -1412 meV per atom
Space-group type ... C2/c, No. 15
Total magnetic moment ... 0.00 μB per formula unit

abc: 9.6040 9.6040 9.6173
angles: 119.89 119.89 88.73
Last column: nearest neighbours and their distance in Å.
Element x y z (fractional)
Cs 0.5000 0.0000 0.0000  6 Br 3.46-3.59
Cs 0.5000 0.0000 0.5000  6 Br 3.46-3.59
Cs 0.0000 0.0000 0.5000  6 Br 3.60-3.98
Cs 0.5000 0.5000 0.0000  6 Br 3.60-3.97
Li 0.5000 0.5000 0.5000  2 Br 2.74
Li 0.0000 0.0000 0.0000  2 Br 2.74-2.75
Tl 0.0000 0.5000 0.0000  6 Br 3.27-3.42
Tl 0.0000 0.5000 0.5000  6 Br 3.27-3.42
Br 0.1917 0.7834 0.9875  1 Li 2.75
Br 0.7166 0.3083 0.5125  1 Li 2.74
Br 0.2834 0.6917 0.4875  1 Li 2.74
Br 0.8083 0.2166 0.0125  1 Li 2.74
Br 0.7599 0.7456 0.9778  2 Li 3.25-3.31, 1 Tl 3.27, 3 Cs 3.46-3.62
Br 0.7544 0.7401 0.5222  2 Li 3.25-3.31, 1 Tl 3.27, 3 Cs 3.46-3.62
Br 0.2456 0.2599 0.4778  2 Li 3.25-3.31, 1 Tl 3.27, 3 Cs 3.46-3.62
Br 0.2401 0.2544 0.0222  2 Li 3.25-3.31, 1 Tl 3.27, 3 Cs 3.46-3.62


Record 6
Cs8Rb3O2 | PBE-GGA | optimized geometry

Values from the calculation:
ΔE_f (raw) ... -480 meV per atom
Space-group type ... R-3m, No. 166
Total magnetic moment ... 0.00 μB per formula unit

abc: 10.1159 10.1159 14.2293
angles: 69.18 69.18 60.00
Last column: nearest neighbours and their distance in Å.
Element x y z (fractional)
Cs 0.6633 0.6633 0.0100  1 O 2.68
Cs 0.3367 0.3367 0.9900  1 O 2.68
Cs 0.2854 0.7137 0.2872  1 O 2.66
Cs 0.7137 0.2854 0.2872  1 O 2.66
Cs 0.7137 0.7137 0.2872  1 O 2.66
Cs 0.2863 0.7146 0.7128  1 O 2.66
Cs 0.7146 0.2863 0.7128  1 O 2.66
Cs 0.2863 0.2863 0.7128  1 O 2.66
Rb 0.0000 0.0000 0.0000  6 Cs 5.00
Rb 0.8026 0.8026 0.5921  10 Cs 5.18-5.42
Rb 0.1974 0.1974 0.4079  10 Cs 5.18-5.42
O 0.5946 0.5946 0.2163  4 Cs 2.66-2.68
O 0.4054 0.4054 0.7837  4 Cs 2.66-2.68


Record 7
CaCeZr | PBE-GGA | optimized geometry

Values from the calculation:
Space-group type ... C2/m, No. 12
Total magnetic moment ... 0.00 μB per formula unit
DFT formation energy ... 1.3 eV per formula unit

abc: 6.1579 6.1579 11.8863
angles: 53.17 53.17 29.33
Last column: nearest neighbours and their distance in Å.
Element x y z (fractional)
Ca 0.3981 0.3981 0.3668  2 Ca 3.12, 5 Zr 3.25-3.45
Ca 0.3551 0.3551 0.9405  2 Ca 3.12, 5 Zr 3.25-3.45
Ce 0.5242 0.5242 0.5692  1 Ce 2.76, 1 Zr 2.89
Ce 0.2291 0.2291 0.7382  1 Ce 2.76, 1 Zr 2.89
Zr 0.7238 0.7238 0.2595  3 Zr 2.87-3.12, 1 Ce 2.89
Zr 0.0294 0.0294 0.0479  3 Zr 2.87-3.12, 1 Ce 2.89


Record 8
YMnCu2Tc | PBE-GGA | optimized geometry

Values from the calculation:
Space-group type ... P4/mmm, No. 123
Total magnetic moment ... 0.59 μB per formula unit
DFT formation energy ... 7.9 eV per formula unit

abc: 4.6825 4.9123 4.6825
angles: 90.00 90.00 90.00
Last column: nearest neighbours and their distance in Å.
Element x y z (fractional)
Y 0.0000 0.5000 0.0000  2 Tc 2.46
Mn 0.5000 0.5000 0.5000  4 Y 3.31, 8 Cu 3.39
Tc 0.0000 0.0000 0.0000  4 Cu 2.34, 2 Y 2.46
Cu 0.0000 0.0000 0.5000  2 Tc 2.34
Cu 0.5000 0.0000 0.0000  2 Tc 2.34


Record 9
Li7Cd2Au | PBE-GGA | optimized geometry

Values from the calculation:
Space-group type ... P3m1, No. 156
Total magnetic moment ... 0.00 μB per formula unit
DFT formation energy ... -1.9 eV per formula unit

abc: 4.5364 4.5364 10.0743
angles: 90.00 90.00 120.00
Last column: nearest neighbours and their distance in Å.
Element x y z (fractional)
Li 0.3333 0.6667 0.3863  4 Li 2.48-2.63, 1 Cd 2.64
Li 0.3333 0.6667 0.1397  2 Li 2.31-2.48
Li 0.0000 0.0000 0.3593  3 Li 2.63, 3 Cd 2.91
Li 0.0000 0.0000 0.7708  1 Au 2.83, 3 Cd 2.90, 6 Li 2.97-3.14
Li 0.6667 0.3333 0.5425  4 Cd 2.83-3.12, 3 Li 3.06
Li 0.6667 0.3333 0.9418  3 Li 2.64, 3 Au 2.84, 1 Cd 2.94
Li 0.3333 0.6667 0.9104  1 Li 2.31
Cd 0.6667 0.3333 0.2332  11 Li 2.78-3.12
Cd 0.3333 0.6667 0.6479  8 Li 2.64-2.90
Au 0.0000 0.0000 0.0514  10 Li 2.77-2.98


Record 10
RbNiPb2 | PBE-GGA | optimized geometry

Values from the calculation:
Space-group type ... I4_1/amd, No. 141
Total magnetic moment ... 0.00 μB per formula unit
DFT formation energy ... 0.7 eV per formula unit

abc: 6.6338 6.6338 8.8406
angles: 67.96 67.96 90.00
Last column: nearest neighbours and their distance in Å.
Element x y z (fractional)
Pb 0.3752 0.1250 0.2500  2 Ni 2.50
Pb 0.3748 0.6250 0.2500  2 Ni 2.50
Pb 0.3750 0.6248 0.7500  2 Ni 2.50
Pb 0.8750 0.6252 0.7500  2 Ni 2.50
Ni 0.5000 0.5000 0.0000  4 Pb 2.50
Ni 0.2500 0.7500 0.5000  4 Pb 2.50
Rb 0.0000 0.0000 0.0000  8 Pb 4.15-4.16
Rb 0.7500 0.2500 0.5000  8 Pb 4.15-4.16


Record 11
Pm2Y6Ho3Sc | PBE-GGA | optimized geometry

Values from the calculation:
Space-group type ... C2/m, No. 12
Total magnetic moment ... 0.00 μB per formula unit
DFT formation energy ... 0.4 eV per formula unit

abc: 6.1385 6.1385 11.7682
angles: 94.97 94.97 119.97
Last column: nearest neighbours and their distance in Å.
Element x y z (fractional)
Pm 0.3335 0.6665 0.0000  3 Pm 3.54-3.55, 3 Sc 3.54-3.55, 6 Y 3.55-3.56
Pm 0.6665 0.3335 0.0000  3 Pm 3.54-3.55, 3 Sc 3.54-3.55, 6 Y 3.55-3.56
Y 0.9170 0.5866 0.7499  6 Y 3.51-3.56, 1 Sc 3.54, 3 Ho 3.54-3.56, 2 Pm 3.55
Y 0.7526 0.7526 0.2505  6 Y 3.51-3.56, 3 Ho 3.54-3.55, 1 Sc 3.54, 2 Pm 3.56
Y 0.0830 0.4134 0.2501  6 Y 3.51-3.56, 1 Sc 3.54, 3 Ho 3.54-3.56, 2 Pm 3.55
Y 0.5866 0.9170 0.7499  6 Y 3.51-3.56, 1 Sc 3.54, 3 Ho 3.54-3.56, 2 Pm 3.55
Y 0.2474 0.2474 0.7495  6 Y 3.51-3.56, 3 Ho 3.54-3.55, 1 Sc 3.54, 2 Pm 3.56
Y 0.4134 0.0830 0.2501  6 Y 3.51-3.56, 1 Sc 3.54, 3 Ho 3.54-3.56, 2 Pm 3.55
Ho 0.1662 0.8338 0.5000  6 Ho 3.53-3.55, 6 Y 3.54-3.56
Ho 0.8338 0.1662 0.5000  6 Ho 3.53-3.55, 6 Y 3.54-3.56
Ho 0.5000 0.5000 0.5000  6 Y 3.54-3.55, 6 Ho 3.54-3.55
Sc 0.0000 0.0000 0.0000  6 Y 3.54, 6 Pm 3.54-3.55


Record 12
LaCuTc4 | PBE-GGA | optimized geometry

Values from the calculation:
Space-group type ... F-43m, No. 216
Total magnetic moment ... 0.00 μB per formula unit
DFT formation energy ... 2.5 eV per formula unit

abc: 5.3320 5.3320 5.3320
angles: 60.00 60.00 60.00
Last column: nearest neighbours and their distance in Å.
Element x y z (fractional)
La 0.0000 0.0000 0.0000  12 Tc 3.13, 4 Cu 3.27
Cu 0.7500 0.7500 0.7500  12 Tc 3.12, 4 La 3.27
Tc 0.8728 0.3757 0.3757  6 Tc 2.65-2.68
Tc 0.3757 0.3757 0.8728  6 Tc 2.65-2.68
Tc 0.3757 0.8728 0.3757  6 Tc 2.65-2.68
Tc 0.3757 0.3757 0.3757  6 Tc 2.65-2.68